No. 1
! Mn2AuS4 PBE relaxed; values from VASP
&SYSTEM
  ibrav = 0, nat = 14, ntyp = 3
/
ATOMIC_SPECIES
Mn 54.94 Mn.upf
S 32.06 S.upf
Au 196.97 Au.upf
ATOMIC_POSITIONS angstrom
Mn 3.3594 5.4005 1.2690
Mn 3.4850 1.8736 1.2162
Mn 1.8260 0.0092 3.7145
Mn -1.7010 -0.1191 3.7726
S 4.9696 3.6948 1.0649
S 0.1210 -1.6072 3.8725
S 5.0999 0.1634 1.3164
S 1.8700 3.5836 1.1159
S 3.6428 -1.4740 3.5100
S 3.5310 1.6255 3.5566
S 2.0005 0.0523 1.3674
S 0.0092 1.4923 3.9191
Au 3.7350 -3.4714 4.8805
Au -0.0830 3.4897 2.5485
CELL_PARAMETERS angstrom
7.0539 0.2566 -0.1163
-0.2510 7.0543 0.1057
-3.3181 -3.7288 4.9968
! - energy relative to the elements, uncorrected (eV/atom) = -0.42

=====

No. 2
! CaTlW3 PBE relaxed; values from VASP
&SYSTEM
  ibrav = 0, nat = 5, ntyp = 3
/
ATOMIC_SPECIES
Tl 204.38 Tl.upf
Ca 40.08 Ca.upf
W 183.84 W.upf
ATOMIC_POSITIONS angstrom
Tl 0.0000 0.0000 0.0000
Ca 2.5320 2.5320 2.5320
W 0.0000 2.5320 0.0000
W 2.5320 0.0000 0.0000
W 0.0000 0.0000 2.5320
CELL_PARAMETERS angstrom
5.0639 0.0000 0.0000
0.0000 5.0639 0.0000
0.0000 0.0000 5.0639
! - ΔE to the lowest computed polymorph (meV/atom) = 0
! - ΔE_f (eV per atom) = 2.753

=====

No. 3
! SrTiP2 PBE relaxed; values from VASP
&SYSTEM
  ibrav = 0, nat = 4, ntyp = 3
/
ATOMIC_SPECIES
Ti 47.87 Ti.upf
Sr 87.62 Sr.upf
P 30.97 P.upf
ATOMIC_POSITIONS angstrom
Ti 0.0000 0.0000 0.0000
Sr -4.3560 -3.7714 -1.2264
P -2.1780 -1.8857 -0.6132
P -6.5340 -5.6571 -1.8396
CELL_PARAMETERS angstrom
-1.6315 -4.4726 0.6848
-4.7263 -0.8024 0.3908
-2.3542 -2.2678 -3.5284
! - ΔE to the lowest computed polymorph (meV/atom) = 643
! - ΔE_f (eV per atom) = -0.353

=====

No. 4
! ThZrAg PBE relaxed; values from VASP
&SYSTEM
  ibrav = 0, nat = 3, ntyp = 3
/
ATOMIC_SPECIES
Zr 91.22 Zr.upf
Ag 107.87 Ag.upf
Th 232.04 Th.upf
ATOMIC_POSITIONS angstrom
Zr 1.0119 -1.8209 3.6023
Ag -1.0873 0.2552 3.1772
Th 0.0012 -0.0022 0.0044
CELL_PARAMETERS angstrom
-0.0534 3.0081 1.5355
-3.2759 -0.4196 0.7081
3.2552 -4.1563 4.5403
! - ΔE to the lowest computed polymorph (meV/atom) = 0
! - ΔE_f (eV per atom) = -0.024

=====

No. 5
! VCdAu2 PBE relaxed; values from VASP
&SYSTEM
  ibrav = 0, nat = 4, ntyp = 3
/
ATOMIC_SPECIES
Cd 112.41 Cd.upf
Au 196.97 Au.upf
V 50.94 V.upf
ATOMIC_POSITIONS angstrom
Cd 1.4825 1.4825 3.9772
Au 0.0000 0.0000 1.7969
Au 0.0000 0.0000 6.1574
V 1.4825 1.4825 0.0000
CELL_PARAMETERS angstrom
2.9650 0.0000 0.0000
0.0000 2.9650 0.0000
0.0000 0.0000 7.9543
! - ΔE_f (eV per atom) = -0.038

=====

No. 6
! KNaSr6 PBE relaxed; values from VASP
&SYSTEM
  ibrav = 0, nat = 8, ntyp = 3
/
ATOMIC_SPECIES
Sr 87.62 Sr.upf
K 39.10 K.upf
Na 22.99 Na.upf
ATOMIC_POSITIONS angstrom
Sr -0.2263 2.8573 11.0247
Sr 3.4594 3.7882 9.0575
Sr 1.4625 4.7078 5.4157
Sr 0.8704 0.9527 7.3827
Sr 2.8673 0.0330 11.0245
Sr 4.5561 1.8836 5.4154
K 0.0000 0.0000 0.0000
Na 2.5789 2.8245 1.7083
CELL_PARAMETERS angstrom
5.6724 0.0003 1.7080
-0.5147 5.6488 1.7086
-0.8279 -0.9082 13.0236
! - ΔE_f (eV per atom) = 0.044

=====

No. 7
! CaMg2GeIr2 PBE relaxed; values from VASP
&SYSTEM
  ibrav = 0, nat = 6, ntyp = 4
/
ATOMIC_SPECIES
Ca 40.08 Ca.upf
Mg 24.30 Mg.upf
Ir 192.22 Ir.upf
Ge 72.64 Ge.upf
ATOMIC_POSITIONS angstrom
Ca -2.9192 0.6378 0.2772
Mg -4.8822 -1.9148 2.0275
Mg -1.9082 -2.5646 1.7451
Ir 0.0659 -0.6781 2.2548
Ir -0.5419 -2.1995 -0.6456
Ge 0.0000 0.0000 0.0000
CELL_PARAMETERS angstrom
-1.0837 -4.3989 -1.2912
0.1319 -1.3562 4.5095
-5.8385 1.2756 0.5543
! - ΔE_f (eV per atom) = -0.136

=====

No. 8
! CeBN PBE relaxed; values from VASP
&SYSTEM
  ibrav = 0, nat = 3, ntyp = 3
/
ATOMIC_SPECIES
Ce 140.12 Ce.upf
N 14.01 N.upf
B 10.81 B.upf
ATOMIC_POSITIONS angstrom
Ce 2.8370 1.4815 0.8554
N 0.7090 0.0000 1.7107
B 0.7095 0.0000 0.0000
CELL_PARAMETERS angstrom
4.2555 0.0000 0.0000
0.0000 2.9631 0.0000
0.0000 -1.4815 2.5661
! - ΔE to the lowest computed polymorph (meV/atom) = 1005
! - energy relative to the elements, uncorrected (eV/atom) = -0.22

=====

No. 9
! KCeSeO6 PBE relaxed; values from VASP
&SYSTEM
  ibrav = 0, nat = 9, ntyp = 4
/
ATOMIC_SPECIES
K 39.10 K.upf
O 16.00 O.upf
Se 78.96 Se.upf
Ce 140.12 Ce.upf
ATOMIC_POSITIONS angstrom
K 0.8550 -11.1995 0.9686
O 1.6338 -5.7658 0.8738
O -0.5349 -4.9330 -0.0295
O 0.5358 -2.6779 -0.7063
O 1.6373 -4.7640 -1.5110
O 2.7712 -3.4853 0.4305
O 0.6561 -3.4812 1.7493
Se 1.1166 -4.1845 0.1345
Ce -0.2617 -7.0150 0.8341
CELL_PARAMETERS angstrom
-1.3048 -3.9569 3.7205
-2.8290 -4.5351 -1.6219
4.9890 -2.7078 -1.1299
! - energy relative to the elements, uncorrected (eV/atom) = -1.52

=====

No. 10
! Y2MoPt PBE relaxed; values from VASP
&SYSTEM
  ibrav = 0, nat = 4, ntyp = 3
/
ATOMIC_SPECIES
Mo 95.94 Mo.upf
Pt 195.08 Pt.upf
Y 88.91 Y.upf
ATOMIC_POSITIONS angstrom
Mo 6.2389 1.3026 0.7739
Pt 18.7168 3.9077 2.3217
Y 0.1084 0.0226 0.0134
Y 12.3695 2.5825 1.5343
CELL_PARAMETERS angstrom
8.7993 0.0349 0.0208
8.0782 3.4887 0.0208
8.0782 1.6866 3.0541
! - ΔE to the lowest computed polymorph (meV/atom) = 324
! - ΔE_f (eV per atom) = 0.008

=====

No. 11
! CePrSe2 PBE relaxed; values from VASP
&SYSTEM
  ibrav = 0, nat = 8, ntyp = 3
/
ATOMIC_SPECIES
Pr 140.91 Pr.upf
Se 78.96 Se.upf
Ce 140.12 Ce.upf
ATOMIC_POSITIONS angstrom
Pr 0.0000 2.9960 2.9955
Pr 2.9960 2.9960 0.0000
Se 2.9960 2.9960 3.0195
Se 2.9960 0.0000 0.0240
Se 2.9960 0.0000 5.9670
Se 0.0000 0.0000 2.9715
Ce 0.0000 0.0000 0.0000
Ce 2.9960 0.0000 2.9955
CELL_PARAMETERS angstrom
5.9921 0.0000 0.0000
0.0000 5.9921 0.0000
-2.9960 -2.9960 5.9910
! - ΔE to the lowest computed polymorph (meV/atom) = 3
! - energy relative to the elements, uncorrected (eV/atom) = -1.84

=====

No. 12
! LaGdPt2 PBE relaxed; values from VASP
&SYSTEM
  ibrav = 0, nat = 4, ntyp = 3
/
ATOMIC_SPECIES
La 138.91 La.upf
Gd 157.25 Gd.upf
Pt 195.08 Pt.upf
ATOMIC_POSITIONS angstrom
La 5.0873 2.9371 2.0769
Gd 0.0000 0.0000 0.0000
Pt 2.5436 1.4686 1.0384
Pt 7.6309 4.4057 3.1153
CELL_PARAMETERS angstrom
5.0873 0.0000 0.0000
2.5436 4.4057 0.0000
2.5436 1.4686 4.1538
! - ΔE to the lowest computed polymorph (meV/atom) = 13
! - ΔE_f (eV per atom) = -1.103

=====

Record order is preserved below.
Size of the total moment: 0.7298 0.0000 0.1713 0.0000 0.0282 0.0000 0.1472 0.0000 0.1206 0.3647 0.2855 1.7998 μB per atom
Record order is preserved below.
VASP energy: -82.154 -29.460 -21.808 -18.892 -16.740 -12.158 -28.345 -21.608 -53.937 -29.767 -50.050 -35.503 eV for the cell shown